Record 1
A relaxed structure of ZnOsN2, computed with PBE-GGA.

The structure belongs to space group Pna2_1 (No. 33); the cell edges are 5.728, 6.418 and 5.309 Å and the angles 90.00°, 90.00° and 90.00°. The distinct sites, in fractional coordinates, are Zn at (0.060, 0.115, 0.000), Os at (0.050, 0.599, 0.977), N at (0.115, 0.639, 0.340) and N at (0.119, 0.149, 0.382).


Record 2
A relaxed structure of ZnOs2N, computed with PBE-GGA.

The structure belongs to space group Fm-3m (No. 225); the cell edges are 5.821, 5.821 and 5.821 Å and the angles 90.00°, 90.00° and 90.00°. The distinct sites, in fractional coordinates, are Zn at (0.000, 0.000, 0.000), Os at (0.250, 0.250, 0.250) and N at (0.000, 0.000, 0.500).

For the relative energy among the computed polymorphs, the calculation gives 848 meV/atom.


Record 3
A relaxed structure of ZnOs3N, computed with PBE-GGA.

The structure belongs to space group Pm-3m (No. 221); the cell edges are 4.049, 4.049 and 4.049 Å and the angles 90.00°, 90.00° and 90.00°. The distinct sites, in fractional coordinates, are Zn at (0.000, 0.000, 0.000), Os at (0.000, 0.500, 0.500) and N at (0.500, 0.500, 0.500).

For the relative energy among the computed polymorphs, the calculation gives 0 meV/atom.


Record 4
A relaxed structure of Zn3OsN, computed with PBE-GGA.

The structure belongs to space group Pm-3m (No. 221); the cell edges are 4.870, 4.870 and 4.870 Å and the angles 90.00°, 90.00° and 90.00°. The distinct sites, in fractional coordinates, are Zn at (0.000, 0.000, 0.500), Os at (0.000, 0.000, 0.000) and N at (0.500, 0.500, 0.500).

For the relative energy among the computed polymorphs, the calculation gives 902 meV/atom.


Record 5
A relaxed structure of Zn2OsN3, computed with PBE-GGA.

The structure belongs to space group Cmc2_1 (No. 36); the cell edges are 9.980, 5.614 and 5.385 Å and the angles 90.00°, 90.00° and 90.00°. The distinct sites, in fractional coordinates, are Zn at (0.169, 0.151, 0.000), Os at (0.000, 0.348, 0.480), N at (0.000, 0.334, 0.842) and N at (0.159, 0.191, 0.377).


Record 6
A relaxed structure of Zr4OsN, computed with PBE-GGA.

The structure belongs to space group P2_1/c (No. 14); the cell edges are 5.944, 6.017 and 6.392 Å and the angles 90.00°, 99.41° and 90.00°. The distinct sites, in fractional coordinates, are Zr at (0.112, 0.165, 0.185), Zr at (0.335, 0.635, 0.116), Os at (0.500, 0.000, 0.000) and N at (0.000, 0.000, 0.500).


Record 7
A relaxed structure of Zr3OsN, computed with PBE-GGA.

The structure belongs to space group Pm-3m (No. 221); the cell edges are 4.428, 4.428 and 4.428 Å and the angles 90.00°, 90.00° and 90.00°. The distinct sites, in fractional coordinates, are Zr at (0.000, 0.000, 0.500), Os at (0.500, 0.500, 0.500) and N at (0.000, 0.000, 0.000).


Record 8
A relaxed structure of Zr2OsN, computed with PBE-GGA.

The structure belongs to space group I-42d (No. 122); the cell edges are 6.232, 6.232 and 7.364 Å and the angles 90.00°, 90.00° and 90.00°. The distinct sites, in fractional coordinates, are Zr at (0.181, 0.250, 0.125), Os at (0.000, 0.000, 0.500) and N at (0.000, 0.000, 0.000).


Record 9
A relaxed structure of ZrOsN2, computed with PBE-GGA.

The structure belongs to space group Fm-3m (No. 225); the cell edges are 5.602, 5.602 and 5.602 Å and the angles 90.00°, 90.00° and 90.00°. The distinct sites, in fractional coordinates, are Zr at (0.000, 0.000, 0.000), Os at (0.000, 0.000, 0.500) and N at (0.250, 0.250, 0.250).

For the relative energy among the computed polymorphs, the calculation gives 591 meV/atom.


Record 10
A relaxed structure of Zr6OsN4, computed with PBE-GGA.

The structure belongs to space group Cmcm (No. 63); the cell edges are 3.298, 11.177 and 17.366 Å and the angles 90.00°, 90.00° and 90.00°. The distinct sites, in fractional coordinates, are Zr at (0.000, 0.000, 0.000), Zr at (0.000, 0.151, 0.250), Zr at (0.000, 0.276, 0.581), Zr at (0.000, 0.458, 0.151), Os at (0.000, 0.164, 0.750), N at (0.000, 0.095, 0.120) and N at (0.000, 0.361, 0.038).


Record 11
A relaxed structure of ZrOsN3, computed with PBE-GGA.

The structure belongs to space group Pm-3m (No. 221); the cell edges are 3.848, 3.848 and 3.848 Å and the angles 90.00°, 90.00° and 90.00°. The distinct sites, in fractional coordinates, are Zr at (0.000, 0.000, 0.000), Os at (0.500, 0.500, 0.500) and N at (0.000, 0.500, 0.500).


Record 12
A relaxed structure of Zr6OsN, computed with PBE-GGA.

The structure belongs to space group P-1 (No. 2); the cell edges are 5.821, 5.845 and 6.552 Å and the angles 63.80°, 64.17° and 60.25°. The distinct sites, in fractional coordinates, are Zr at (0.048, 0.408, 0.265), Zr at (0.221, 0.955, 0.735), Zr at (0.407, 0.778, 0.267), Os at (0.500, 0.500, 0.000) and N at (0.000, 0.000, 0.500).


Record 13
A relaxed structure of ZrOsN3, computed with PBE-GGA.

The structure belongs to space group Pm-3m (No. 221); the cell edges are 4.130, 4.130 and 4.130 Å and the angles 90.00°, 90.00° and 90.00°. The distinct sites, in fractional coordinates, are Zr at (0.000, 0.000, 0.000), Os at (0.500, 0.500, 0.500) and N at (0.000, 0.000, 0.500).


Record 14
A relaxed structure of Zr4Os2N, computed with PBE-GGA.

The structure belongs to space group Fd-3m (No. 227, origin choice 2); the cell edges are 12.460, 12.460 and 12.460 Å and the angles 90.00°, 90.00° and 90.00°. The distinct sites, in fractional coordinates, are Zr at (0.000, 0.000, 0.000), Zr at (0.060, 0.375, 0.875), Os at (0.038, 0.038, 0.212) and N at (0.000, 0.000, 0.500).


Record 15
A relaxed structure of Zr6Os2N, computed with PBE-GGA.

The structure belongs to space group P2_1/c (No. 14); the cell edges are 6.043, 6.506 and 10.656 Å and the angles 90.00°, 122.26° and 90.00°. The distinct sites, in fractional coordinates, are Zr at (0.129, 0.028, 0.243), Zr at (0.231, 0.690, 0.055), Zr at (0.364, 0.179, 0.053), Os at (0.308, 0.100, 0.762) and N at (0.000, 0.000, 0.000).


Record 16
A relaxed structure of ZrOsN2, computed with PBE-GGA.

The structure belongs to space group R-3m (No. 166, hexagonal axes); the cell edges are 3.2281, 3.2281 and 18.4463 Å and the angles 90.00°, 90.00° and 120.00°. The distinct sites, in fractional coordinates, are Zr at (0.0000, 0.0000, 0.0000), Os at (0.0000, 0.0000, 0.5000) and N at (0.0000, 0.0000, 0.3965).

For the relative energy among the computed polymorphs, the calculation gives 129 meV/atom.


Record 17
A relaxed structure of Zr2OsN, computed with PBE-GGA.

The structure belongs to space group R-3m (No. 166, hexagonal axes); the cell edges are 3.2010, 3.2010 and 20.9616 Å and the angles 90.00°, 90.00° and 120.00°. The distinct sites, in fractional coordinates, are Zr at (0.0000, 0.0000, 0.2315), Os at (0.0000, 0.0000, 0.0000) and N at (0.0000, 0.0000, 0.5000).


Record 18
A relaxed structure of ZrOsN2, computed with PBE-GGA.

The structure belongs to space group I-42d (No. 122); the cell edges are 4.463, 4.463 and 10.830 Å and the angles 90.00°, 90.00° and 90.00°. The distinct sites, in fractional coordinates, are Zr at (0.000, 0.000, 0.000), Os at (0.000, 0.000, 0.500) and N at (0.214, 0.250, 0.625).

For the relative energy among the computed polymorphs, the calculation gives 0 meV/atom.


Record 19
A relaxed structure of ZrOsN2, computed with PBE-GGA.

The structure belongs to space group R-3m (No. 166, hexagonal axes); the cell edges are 3.4339, 3.4339 and 16.1328 Å and the angles 90.00°, 90.00° and 120.00°. The distinct sites, in fractional coordinates, are Zr at (0.0000, 0.0000, 0.0000), Os at (0.0000, 0.0000, 0.5000) and N at (0.0000, 0.0000, 0.1291).

For the relative energy among the computed polymorphs, the calculation gives 596 meV/atom.


Record 20
A relaxed structure of P4N, computed with PBE-GGA.

The structure belongs to space group Pm-3m (No. 221); the cell edges are 4.070, 4.070 and 4.070 Å and the angles 90.00°, 90.00° and 90.00°. The distinct sites, in fractional coordinates, are P at (0.000, 0.000, 0.000), P at (0.000, 0.500, 0.500) and N at (0.500, 0.500, 0.500).


Summary of formation energy from raw total energies in eV/atom
0.44; 1.48; 0.67; 1.67; 0.29; -0.62; -0.69; -0.39; 0.27; -1.33; 0.28; -0.38; 1.72; -0.80; -0.56; -0.20; -0.84; -0.32; 0.27; 1.11
(order as listed above)